Compound: HgCI2O
Source: the Alexandria database
Functional: PBE
Structure: optimized geometry

* total energy: -13.70 eV/cell
* energy relative to the elements, uncorrected: 775.9 meV/atom
* polymorph energy (0 for the lowest one): 0.00 kJ/mol of atoms
* SG: No. 123

Lattice parameters (Å, degrees): 7.024 7.024 2.927 90.00 90.00 90.00
Fractional coordinates of all 5 atoms:
Hg: 0.000 0.000 0.000
C: 0.500 0.500 0.500
I: 0.000 0.500 0.500
I: 0.500 0.000 0.500
O: 0.500 0.500 0.000